# SiMo3Au

A geometry-optimized SiMo3Au structure (PBE, the Alexandria database). Values from VASP.

Calculated values
The uncorrected formation energy comes out at 2.3784 eV per atom. The space-group type is Pm-3m (221). The calculation puts the total magnetization at 1.814 μB/f.u. For the theoretical density, the calculation gives 7.5 g/cm³. The volume comes out at 113.9 Å³ per cell. The energy above the most stable polymorph in this dataset comes out at 1392 meV per atom. The electronic total energy comes out at -5.86 eV/atom.

The structure in Quantum ESPRESSO input format:
```
&SYSTEM
  ibrav = 0, nat = 5, ntyp = 3
/
ATOMIC_SPECIES
Au 196.97 Au.upf
Mo 95.94 Mo.upf
Si 28.09 Si.upf
CELL_PARAMETERS angstrom
-3.410 0.821 -3.347
2.649 -2.387 -3.284
-2.204 -4.139 1.230
ATOMIC_POSITIONS angstrom
Au 0.000 0.000 0.000
Mo 1.325 -1.193 -1.642
Mo -1.102 -2.070 0.615
Mo -1.705 0.411 -1.674
Si -1.482 -2.852 -2.701
```